No. 1
Density functional theory data (GGA+U) for an optimized crystal structure of HoNpNiO6. Values from VASP.

Results
- final energy (Ha/atom) = -0.2960
- ρ (g/cm³) = 7.70
- V (Å³/f.u.) = 120.0
- space-group type = P-31c

```
&SYSTEM
  ibrav = 0, nat = 18, ntyp = 4
/
ATOMIC_SPECIES
Ho 164.93 Ho.upf
Np 237.00 Np.upf
Ni 58.69 Ni.upf
O 16.00 O.upf
CELL_PARAMETERS angstrom
5.290 0.000 0.000
-2.645 4.581 0.000
0.000 0.000 9.905
ATOMIC_POSITIONS crystal
Ho 0.000 0.000 0.000
Ho 0.000 0.000 0.500
Np 0.333 0.667 0.250
Np 0.667 0.333 0.750
Ni 0.333 0.667 0.750
Ni 0.667 0.333 0.250
O 0.009 0.352 0.137
O 0.009 0.656 0.363
O 0.344 0.352 0.363
O 0.344 0.991 0.137
O 0.352 0.009 0.637
O 0.352 0.344 0.863
O 0.648 0.656 0.137
O 0.648 0.991 0.363
O 0.656 0.009 0.863
O 0.656 0.648 0.637
O 0.991 0.344 0.637
O 0.991 0.648 0.863
```


No. 2
Density functional theory data (GGA+U) for an optimized crystal structure of Ho2NpNiO8. Values from VASP.

Results
- final energy (Ha/atom) = -0.2900
- ρ (g/cm³) = 7.89
- V (Å³/f.u.) = 158.6
- space-group type = P-1

```
&SYSTEM
  ibrav = 0, nat = 12, ntyp = 4
/
ATOMIC_SPECIES
Ho 164.93 Ho.upf
Np 237.00 Np.upf
Ni 58.69 Ni.upf
O 16.00 O.upf
CELL_PARAMETERS angstrom
4.420 0.000 0.000
0.524 5.076 0.000
0.281 0.804 7.069
ATOMIC_POSITIONS crystal
Ho 0.078 0.015 0.236
Ho 0.922 0.985 0.764
Np 0.500 0.500 0.500
Ni 0.500 0.500 0.000
O 0.121 0.740 0.522
O 0.202 0.777 0.997
O 0.363 0.358 0.240
O 0.386 0.207 0.682
O 0.614 0.793 0.318
O 0.637 0.642 0.760
O 0.798 0.223 0.003
O 0.879 0.260 0.478
```


Number 1: M_tot 4.0 Bohr magnetons per cell. Number 2: M_tot 1.0 Bohr magnetons per cell.